LiSm3Hg12 | Alexandria | GGA-PBE | optimized geometry; electronic total energy = -24.7 eV per cell; space-group type = P4/mmm, No. 123; D(E_F) = 9.2 states/eV/f.u.; magnetization = 0.0 μB per formula unit; ΔE_f = -314 meV/atom
1.0
4.626 0.000 0.000
0.000 4.626 0.000
0.000 0.000 18.397
Li Sm Hg
1 3 12
Direct
0.000 0.000 0.000
0.000 0.000 0.238
0.000 0.000 0.500
0.000 0.000 0.762
0.000 0.500 0.115
0.000 0.500 0.371
0.000 0.500 0.629
0.000 0.500 0.885
0.500 0.000 0.115
0.500 0.000 0.371
0.500 0.000 0.629
0.500 0.000 0.885
0.500 0.500 0.000
0.500 0.500 0.245
0.500 0.500 0.500
0.500 0.500 0.755

Ce2Nd3N3 | Alexandria | GGA-PBE | optimized geometry; electronic total energy = -115.9 eV per cell; space-group type = Cmcm, No. 63; D(E_F) = 8.9 states/eV/f.u.; magnetization = 0.0 μB per formula unit; formation energy without anion corrections = -0.85 eV/atom
1.0
1.758 -8.962 0.000
1.758 8.962 0.000
0.000 0.000 11.229
Ce Nd N
4 6 6
Direct
0.229 0.771 0.628
0.229 0.771 0.872
0.771 0.229 0.128
0.771 0.229 0.372
0.090 0.910 0.096
0.090 0.910 0.404
0.430 0.570 0.250
0.570 0.430 0.750
0.910 0.090 0.596
0.910 0.090 0.904
0.325 0.675 0.017
0.325 0.675 0.483
0.434 0.566 0.750
0.566 0.434 0.250
0.675 0.325 0.517
0.675 0.325 0.983

CrCdBi2S | Alexandria | GGA-PBE | optimized geometry; electronic total energy = -20.7 eV per cell; space-group type = P4/mmm, No. 123; D(E_F) = 2.3 states/eV/f.u.; magnetization = 3.7 μB per formula unit; formation energy without anion corrections = 0.35 eV/atom
1.0
5.594 0.000 0.000
0.000 5.594 0.000
0.000 0.000 4.466
Cr Cd Bi S
1 1 2 1
Direct
0.000 0.000 0.000
0.500 0.500 0.000
0.000 0.500 0.500
0.500 0.000 0.500
0.000 0.000 0.500

CsGa2Pb2 | Alexandria | GGA-PBE | optimized geometry; electronic total energy = -14.6 eV per cell; space-group type = I4/mmm, No. 139; D(E_F) = 2.7 states/eV/f.u.; magnetization = 0.0 μB per formula unit; relative energy among the computed polymorphs = 35 meV/atom; ΔE_f = -52 meV/atom
1.0
-2.577 2.577 6.221
2.577 -2.577 6.221
2.577 2.577 -6.221
Cs Ga Pb
1 2 2
Direct
0.000 0.000 0.000
0.250 0.750 0.500
0.750 0.250 0.500
0.367 0.367 0.000
0.633 0.633 0.000

Nd4PtPb2 | Alexandria | GGA-PBE | optimized geometry; electronic total energy = -73.1 eV per cell; space-group type = P2_1/m, No. 11; D(E_F) = 5.6 states/eV/f.u.; magnetization = 0.0 μB per formula unit; ΔE_f = -575 meV/atom
1.0
7.051 0.000 0.000
0.000 6.896 0.000
-2.445 0.000 9.044
Nd Pt Pb
8 2 4
Direct
0.173 0.250 0.096
0.228 0.750 0.364
0.315 0.006 0.745
0.315 0.494 0.745
0.685 0.506 0.255
0.685 0.994 0.255
0.772 0.250 0.636
0.827 0.750 0.904
0.455 0.250 0.385
0.545 0.750 0.615
0.084 0.250 0.431
0.313 0.750 0.041
0.687 0.250 0.959
0.916 0.750 0.569

TlPtAu2 | Alexandria | GGA-PBE | optimized geometry; electronic total energy = -29.0 eV per cell; space-group type = I-42d, No. 122; D(E_F) = 1.3 states/eV/f.u.; magnetization = 0.0 μB per formula unit; relative energy among the computed polymorphs = 34 meV/atom; ΔE_f = 111 meV/atom
1.0
-1.981 1.981 10.296
1.981 -1.981 10.296
1.981 1.981 -10.296
Tl Pt Au
2 2 4
Direct
0.000 0.000 0.000
0.750 0.250 0.500
0.250 0.750 0.500
0.500 0.500 0.000
0.134 0.625 0.009
0.375 0.384 0.509
0.616 0.125 0.991
0.875 0.866 0.491

NpGaAu11 | Alexandria | GGA-PBE | optimized geometry; electronic total energy = -52.8 eV per cell; space-group type = C2/m, No. 12; D(E_F) = 10.1 states/eV/f.u.; magnetization = 4.3 μB per formula unit; ΔE_f = -63 meV/atom
1.0
2.757 -6.778 0.000
2.757 6.778 0.000
-2.298 0.000 6.763
Np Ga Au
1 1 11
Direct
0.000 0.000 0.000
0.500 0.500 0.500
0.000 0.000 0.500
0.000 0.500 0.000
0.026 0.678 0.652
0.318 0.526 0.783
0.322 0.974 0.348
0.474 0.682 0.217
0.500 0.000 0.000
0.526 0.318 0.783
0.678 0.026 0.652
0.682 0.474 0.217
0.974 0.322 0.348